# 1
# PBE+U Co2SiMoF, relaxed
# E above lowest polymorph	724	meV/atom
# total magnetic moment	5.91	μB/cell
# total DFT energy (no corrections)	-17.64	eV/f.u.
data_Co2SiMoF
_cell_length_a 4.875
_cell_length_b 4.875
_cell_length_c 4.727
_cell_angle_alpha 90.00
_cell_angle_beta 90.00
_cell_angle_gamma 90.00
_symmetry_space_group_name_H-M 'P 4/m m m'
_symmetry_Int_Tables_number 123
_symmetry_space_group_name_Hall '-P 4 2'
loop_
_atom_site_label
_atom_site_fract_x
_atom_site_fract_y
_atom_site_fract_z
_atom_site_occupancy
Co1 0.000 0.500 0.000 1
Si1 0.000 0.000 0.500 1
Mo1 0.000 0.000 0.000 1
F1 0.500 0.500 0.500 1



# 2
# PBE+U Co2SiMoF, relaxed
# E above lowest polymorph	0	meV/atom
# total magnetic moment	6.75	μB/cell
# total DFT energy (no corrections)	-21.26	eV/f.u.
data_Co2SiMoF
_cell_length_a 4.239
_cell_length_b 4.239
_cell_length_c 5.086
_cell_angle_alpha 90.00
_cell_angle_beta 90.00
_cell_angle_gamma 90.00
_symmetry_space_group_name_H-M 'P 4/m m m'
_symmetry_Int_Tables_number 123
_symmetry_space_group_name_Hall '-P 4 2'
loop_
_atom_site_label
_atom_site_fract_x
_atom_site_fract_y
_atom_site_fract_z
_atom_site_occupancy
Co1 0.000 0.500 0.000 1
Si1 0.000 0.000 0.000 1
Mo1 0.000 0.000 0.500 1
F1 0.500 0.500 0.500 1



# 3
# PBE+U TlCoMoF6, relaxed
# total magnetic moment	11.99	μB/cell
# total DFT energy (no corrections)	-46.25	eV/f.u.
data_TlCoMoF6
_cell_length_a 5.6210
_cell_length_b 5.6210
_cell_length_c 12.0117
_cell_angle_alpha 90.00
_cell_angle_beta 90.00
_cell_angle_gamma 120.00
_symmetry_space_group_name_H-M 'P -3 1 c'
_symmetry_Int_Tables_number 163
_symmetry_space_group_name_Hall '-P 3 2c'
loop_
_atom_site_label
_atom_site_fract_x
_atom_site_fract_y
_atom_site_fract_z
_atom_site_occupancy
Tl1 0.0000 0.0000 0.0000 1
Co1 0.3333 0.6667 0.2500 1
Mo1 0.3333 0.6667 0.7500 1
F1 0.0044 0.3692 0.1586 1



# 4
# PBE+U CoNF2, relaxed
# E above lowest polymorph	1096	meV/atom
# total magnetic moment	12.68	μB/cell
# total DFT energy (no corrections)	-13.71	eV/f.u.
data_CoNF2
_cell_length_a 5.332
_cell_length_b 5.332
_cell_length_c 5.332
_cell_angle_alpha 90.00
_cell_angle_beta 90.00
_cell_angle_gamma 90.00
_symmetry_space_group_name_H-M 'F m -3 m'
_symmetry_Int_Tables_number 225
_symmetry_space_group_name_Hall '-F 4 2 3'
loop_
_atom_site_label
_atom_site_fract_x
_atom_site_fract_y
_atom_site_fract_z
_atom_site_occupancy
Co1 0.000 0.000 0.000 1
N1 0.000 0.000 0.500 1
F1 0.250 0.250 0.250 1



- Look up the total magnetic moment of the second one.
  6.75 μB/cell



- The lowest total DFT energy (no corrections) belongs to which entry?
  TlCoMoF6



- Which value of total DFT energy (no corrections) does entry 3 give?
  -46.25 eV/f.u.